This record from Alexandria describes a relaxed Li2AlCrO4 crystal. The functional is GGA+U.

Summary:
* total energy: -6.75 eV/atom
* V: 70.32 Å³ per cell
* N(E_F): 0.00 states/eV/f.u.

Cell lengths 5.0322, 2.8978, 5.1050 Å; angles 90.00, 109.16, 90.00 degrees
With the nearest neighbours (Å) after each atom.
Space group P2/m (No. 10)
Unique sites:
Li1 0.0000 0.0000 0.0000  6 O 2.12
Li2 0.5000 0.5000 0.0000  6 O 2.18-2.20
Al1 0.0000 0.5000 0.5000  6 O 1.93-1.96
Cr1 0.5000 0.0000 0.5000  6 O 2.01-2.02
O1 0.2294 0.0000 0.7179  2 Al 1.96, 1 Cr 2.02, 3 Li 2.12-2.18
O2 0.2468 0.5000 0.2791  1 Al 1.93, 2 Cr 2.01, 2 Li 2.12